Compound: PrSm3Ru8
Source: Alexandria via LeMat-Bulk
Functional: PBE
Structure: relaxed

Properties
ΔH_f (0 K) in meV per atom: -172
SG: No. 160
D(E_F) in states/eV/cell: 15.9

Cell: 9.3964 9.3964 9.3964 Å, 33.40 33.40 33.40°
Sites, in units of the cell vectors:
Pr 0.0000 0.0000 0.0000
Sm 0.1250 0.1250 0.1250
Sm 0.5003 0.5003 0.5003
Sm 0.6249 0.6249 0.6249
Ru 0.0575 0.5674 0.5674
Ru 0.0674 0.0674 0.5532
Ru 0.0674 0.5532 0.0674
Ru 0.3171 0.3171 0.3171
Ru 0.5532 0.0674 0.0674
Ru 0.5674 0.0575 0.5674
Ru 0.5674 0.5674 0.0575
Ru 0.8174 0.8174 0.8174